Entry 1:
The following is a DFT calculation (PBE) of crystalline Cs3TlAg4 at its relaxed geometry.

Space-group type: Imm2 (44)
Calculated volume in Å³/cell: 298
Mass density in g/cm3: 5.8
Formation enthalpy at 0 K in meV/atom: 39
Spin magnetization in μB/atom: 0.000

Lattice parameters (Å, degrees): 7.4573 7.4573 7.4573 121.67 115.60 92.46
Closest atoms and distances in Å follow each position.
Sites, in units of the cell vectors:
Cs: 0.0000 0.0000 0.0000  4 Ag 3.84-3.94, 2 Tl 3.99, 2 Cs 4.15
Cs: 0.1099 0.3555 0.7545  7 Ag 3.75-3.93, 3 Cs 3.90-4.15
Cs: 0.6010 0.3555 0.2455  7 Ag 3.75-3.93, 3 Cs 3.90-4.15
Tl: 0.4669 0.9669 0.5000  4 Ag 2.89-2.98
Ag: 0.0304 0.7168 0.3137  3 Ag 2.95-2.96, 1 Tl 2.98
Ag: 0.4031 0.7168 0.6863  3 Ag 2.95-2.96, 1 Tl 2.98
Ag: 0.6415 0.4531 0.8117  3 Ag 2.74-2.95, 1 Tl 2.89
Ag: 0.6415 0.8298 0.1883  3 Ag 2.74-2.95, 1 Tl 2.89


Entry 2:
The following is a DFT calculation (PBE) of crystalline Cs12Tl3Ag5 at its relaxed geometry.

Space-group type: Ia-3d (230)
Calculated volume in Å³/cell: 5819
Mass density in g/cm3: 3.1
Formation enthalpy at 0 K in meV/atom: 131
Spin magnetization in μB/atom: 0.365

Lattice parameters (Å, degrees): 19.6258 19.6258 19.6258 109.47 109.47 109.47
Closest atoms and distances in Å follow each position.
Sites, in units of the cell vectors:
Cs: 0.0466 0.2201 0.1320  2 Ag 3.57-3.81
Cs: 0.0466 0.3265 0.9147  2 Ag 3.57-3.81
Cs: 0.0853 0.6320 0.4118  2 Ag 3.57-3.81
Cs: 0.0853 0.9534 0.6735  2 Ag 3.57-3.81
Cs: 0.0882 0.7201 0.6735  2 Ag 3.57-3.81
Cs: 0.0882 0.8680 0.4147  2 Ag 3.57-3.81
Cs: 0.1320 0.0466 0.2201  2 Ag 3.57-3.81
Cs: 0.1320 0.5853 0.9118  2 Ag 3.57-3.81
Cs: 0.1735 0.2201 0.5882  2 Ag 3.57-3.81
Cs: 0.1735 0.4534 0.5853  2 Ag 3.57-3.81
Cs: 0.2201 0.1320 0.0466  2 Ag 3.57-3.81
Cs: 0.2201 0.5882 0.1735  2 Ag 3.57-3.81
Cs: 0.2799 0.3265 0.9118  2 Ag 3.57-3.81
Cs: 0.2799 0.4534 0.3680  2 Ag 3.57-3.81
Cs: 0.3265 0.9118 0.2799  2 Ag 3.57-3.81
Cs: 0.3265 0.9147 0.0466  2 Ag 3.57-3.81
Cs: 0.3680 0.2799 0.4534  2 Ag 3.57-3.81
Cs: 0.3680 0.5882 0.9147  2 Ag 3.57-3.81
Cs: 0.4118 0.0853 0.6320  2 Ag 3.57-3.81
Cs: 0.4118 0.8265 0.7799  2 Ag 3.57-3.81
Cs: 0.4147 0.0882 0.8680  2 Ag 3.57-3.81
Cs: 0.4147 0.8265 0.5466  2 Ag 3.57-3.81
Cs: 0.4534 0.3680 0.2799  2 Ag 3.57-3.81
Cs: 0.4534 0.5853 0.1735  2 Ag 3.57-3.81
Cs: 0.5466 0.4147 0.8265  2 Ag 3.57-3.81
Cs: 0.5466 0.6320 0.7201  2 Ag 3.57-3.81
Cs: 0.5853 0.1735 0.4534  2 Ag 3.57-3.81
Cs: 0.5853 0.9118 0.1320  2 Ag 3.57-3.81
Cs: 0.5882 0.1735 0.2201  2 Ag 3.57-3.81
Cs: 0.5882 0.9147 0.3680  2 Ag 3.57-3.81
Cs: 0.6320 0.4118 0.0853  2 Ag 3.57-3.81
Cs: 0.6320 0.7201 0.5466  2 Ag 3.57-3.81
Cs: 0.6735 0.0853 0.9534  2 Ag 3.57-3.81
Cs: 0.6735 0.0882 0.7201  2 Ag 3.57-3.81
Cs: 0.7201 0.5466 0.6320  2 Ag 3.57-3.81
Cs: 0.7201 0.6735 0.0882  2 Ag 3.57-3.81
Cs: 0.7799 0.4118 0.8265  2 Ag 3.57-3.81
Cs: 0.7799 0.8680 0.9534  2 Ag 3.57-3.81
Cs: 0.8265 0.5466 0.4147  2 Ag 3.57-3.81
Cs: 0.8265 0.7799 0.4118  2 Ag 3.57-3.81
Cs: 0.8680 0.4147 0.0882  2 Ag 3.57-3.81
Cs: 0.8680 0.9534 0.7799  2 Ag 3.57-3.81
Cs: 0.9118 0.1320 0.5853  2 Ag 3.57-3.81
Cs: 0.9118 0.2799 0.3265  2 Ag 3.57-3.81
Cs: 0.9147 0.0466 0.3265  2 Ag 3.57-3.81
Cs: 0.9147 0.3680 0.5882  2 Ag 3.57-3.81
Cs: 0.9534 0.6735 0.0853  2 Ag 3.57-3.81
Cs: 0.9534 0.7799 0.8680  2 Ag 3.57-3.81
Tl: 0.1250 0.2500 0.3750  8 Cs 4.21-4.25
Tl: 0.1250 0.3750 0.7500  8 Cs 4.21-4.25
Tl: 0.2500 0.3750 0.1250  8 Cs 4.21-4.25
Tl: 0.2500 0.8750 0.6250  8 Cs 4.21-4.25
Tl: 0.3750 0.1250 0.2500  8 Cs 4.21-4.25
Tl: 0.3750 0.7500 0.1250  8 Cs 4.21-4.25
Tl: 0.6250 0.2500 0.8750  8 Cs 4.21-4.25
Tl: 0.6250 0.8750 0.7500  8 Cs 4.21-4.25
Tl: 0.7500 0.1250 0.3750  8 Cs 4.21-4.25
Tl: 0.7500 0.6250 0.8750  8 Cs 4.21-4.25
Tl: 0.8750 0.6250 0.2500  8 Cs 4.21-4.25
Tl: 0.8750 0.7500 0.6250  8 Cs 4.21-4.25
Ag: 0.0000 0.0000 0.0000  6 Cs 3.81
Ag: 0.0000 0.0000 0.5000  6 Cs 3.81
Ag: 0.0000 0.5000 0.0000  6 Cs 3.81
Ag: 0.0000 0.5000 0.5000  6 Cs 3.81
Ag: 0.1250 0.7500 0.8750  4 Cs 3.57
Ag: 0.1250 0.8750 0.2500  4 Cs 3.57
Ag: 0.2500 0.1250 0.8750  4 Cs 3.57
Ag: 0.2500 0.6250 0.3750  4 Cs 3.57
Ag: 0.3750 0.2500 0.6250  4 Cs 3.57
Ag: 0.3750 0.6250 0.7500  4 Cs 3.57
Ag: 0.5000 0.0000 0.0000  6 Cs 3.81
Ag: 0.5000 0.0000 0.5000  6 Cs 3.81
Ag: 0.5000 0.5000 0.0000  6 Cs 3.81
Ag: 0.5000 0.5000 0.5000  6 Cs 3.81
Ag: 0.6250 0.3750 0.2500  4 Cs 3.57
Ag: 0.6250 0.7500 0.3750  4 Cs 3.57
Ag: 0.7500 0.3750 0.6250  4 Cs 3.57
Ag: 0.7500 0.8750 0.1250  4 Cs 3.57
Ag: 0.8750 0.1250 0.7500  4 Cs 3.57
Ag: 0.8750 0.2500 0.1250  4 Cs 3.57


Entry 3:
The following is a DFT calculation (PBE) of crystalline CsTlAg at its relaxed geometry.

Space-group type: Pmm2 (25)
Calculated volume in Å³/cell: 239
Mass density in g/cm3: 6.2
Energy above the most stable polymorph in this dataset in kJ per mole of atoms: 3.4
Formation enthalpy at 0 K in meV/atom: 2
Spin magnetization in μB/atom: 0.000

Lattice parameters (Å, degrees): 5.1884 5.3876 8.5616 90.00 90.00 90.00
Closest atoms and distances in Å follow each position.
Sites, in units of the cell vectors:
Cs: 0.0000 0.0000 0.0000  6 Tl 3.91-3.97, 3 Ag 3.97-4.18
Cs: 0.5000 0.5000 0.3314  6 Ag 3.83-4.05, 3 Tl 3.88-4.17
Tl: 0.5000 0.0000 0.6583  2 Ag 2.88, 2 Tl 3.13
Tl: 0.5000 0.5000 0.8444  2 Ag 3.04, 2 Tl 3.13
Ag: 0.0000 0.0000 0.5118  2 Tl 2.88, 2 Ag 2.98
Ag: 0.0000 0.5000 0.6598  2 Ag 2.98, 2 Tl 3.04


Entry 4:
The following is a DFT calculation (PBE) of crystalline CsTl2Ag at its relaxed geometry.

Space-group type: I-42d (122)
Calculated volume in Å³/cell: 356
Mass density in g/cm3: 6.1
Energy above the most stable polymorph in this dataset in kJ per mole of atoms: 11.8
Formation enthalpy at 0 K in meV/atom: 114
Spin magnetization in μB/atom: 0.000

Lattice parameters (Å, degrees): 11.0279 11.0279 11.0279 148.96 148.96 44.47
Closest atoms and distances in Å follow each position.
Sites, in units of the cell vectors:
Cs: 0.0000 0.0000 0.0000  4 Tl 3.88, 4 Ag 4.17
Cs: 0.7500 0.2500 0.5000  4 Tl 3.88, 4 Ag 4.17
Tl: 0.3033 0.6250 0.1783  2 Ag 2.98, 2 Tl 3.07
Tl: 0.3750 0.5533 0.6783  2 Ag 2.98, 2 Tl 3.07
Tl: 0.4467 0.1250 0.8217  2 Ag 2.98, 2 Tl 3.07
Tl: 0.8750 0.6967 0.3217  2 Ag 2.98, 2 Tl 3.07
Ag: 0.2500 0.7500 0.5000  4 Tl 2.98
Ag: 0.5000 0.5000 0.0000  4 Tl 2.98